{"formula": "RbCdIn2Hg6", "functional": "GGA-PBE", "state": "optimized geometry", "lattice_angstrom": [[5.3181, -8.0256, 0.0000], [5.3181, 8.0256, 0.0000], [-5.1923, 0.0000, 6.8884]], "species": ["Rb", "Rb", "Cd", "Cd", "In", "In", "In", "In", "Hg", "Hg", "Hg", "Hg", "Hg", "Hg", "Hg", "Hg", "Hg", "Hg", "Hg", "Hg"], "fractional_positions": [[0.0437, 0.9563, 0.7500], [0.9563, 0.0437, 0.2500], [0.3270, 0.6730, 0.2500], [0.6730, 0.3270, 0.7500], [0.0926, 0.4192, 0.7724], [0.4192, 0.0926, 0.2724], [0.5808, 0.9074, 0.7276], [0.9074, 0.5808, 0.2276], [0.0445, 0.7198, 0.9932], [0.1894, 0.5535, 0.5107], [0.2802, 0.9555, 0.5068], [0.3483, 0.3700, 0.2687], [0.3700, 0.3483, 0.7687], [0.4465, 0.8106, 0.9893], [0.5535, 0.1894, 0.0107], [0.6300, 0.6517, 0.2313], [0.6517, 0.6300, 0.7313], [0.7198, 0.0445, 0.4932], [0.8106, 0.4465, 0.4893], [0.9555, 0.2802, 0.0068]], "formation_enthalpy_0k_kj_per_mol_atoms": -8, "magmom_total_mub_per_fu": 0.0}